Entry 1:
## CeDy7Er4 (GGA-PBE)

Data for a geometry-optimized CeDy7Er4 structure.

Summary:
Formation enthalpy at 0 K in eV/atom: 0.15
Density in g/cm3: 8.53
DFT total energy in eV/atom: -4.55
Crystal system: monoclinic
Space-group type: No. 12

a = 9.949 Å, b = 9.949 Å, c = 5.915 Å
α = 90.05°, β = 90.05°, γ = 40.35°
Sites, in units of the cell vectors:
Ce1 0.000 0.000 0.000
Dy1 0.000 0.000 0.500
Dy2 0.187 0.187 0.253
Dy3 0.287 0.287 0.756
Dy4 0.461 0.461 0.750
Dy5 0.539 0.539 0.250
Dy6 0.713 0.713 0.244
Dy7 0.813 0.813 0.747
Er1 0.131 0.595 0.252
Er2 0.405 0.869 0.748
Er3 0.595 0.131 0.252
Er4 0.869 0.405 0.748

=====

Entry 2:
## MgCd2Hg3 (GGA-PBE)

Data for a geometry-optimized MgCd2Hg3 structure.

Summary:
Distance to the lowest polymorph of the same formula in meV per atom: 0
Formation enthalpy at 0 K in eV/atom: -0.05
Density in g/cm3: 9.76
DFT total energy in eV/atom: -0.77
Crystal system: monoclinic
Space-group type: No. 12

a = 6.185 Å, b = 6.185 Å, c = 8.984 Å
α = 96.93°, β = 96.93°, γ = 119.74°
Sites, in units of the cell vectors:
Mg1 0.173 0.827 0.000
Mg2 0.827 0.173 0.000
Cd1 0.000 0.000 0.500
Cd2 0.346 0.654 0.500
Cd3 0.500 0.500 0.000
Cd4 0.654 0.346 0.500
Hg1 0.068 0.413 0.751
Hg2 0.229 0.229 0.237
Hg3 0.413 0.068 0.751
Hg4 0.587 0.932 0.249
Hg5 0.771 0.771 0.763
Hg6 0.932 0.587 0.249

=====

Entry 3:
## In2SiRh2 (GGA-PBE)

Data for a geometry-optimized In2SiRh2 structure.

Summary:
ΔE_f (raw) in meV/atom: -370
Density in g/cm3: 8.80
DFT total energy in eV/atom: -5.49
Crystal system: tetragonal
Space-group type: No. 127

a = 6.387 Å, b = 6.387 Å, c = 4.291 Å
α = 90.00°, β = 90.00°, γ = 90.00°
Sites, in units of the cell vectors:
In1 0.158 0.342 0.000
In2 0.342 0.842 0.000
In3 0.658 0.158 0.000
In4 0.842 0.658 0.000
Si1 0.000 0.000 0.500
Si2 0.500 0.500 0.500
Rh1 0.161 0.661 0.500
Rh2 0.339 0.161 0.500
Rh3 0.661 0.839 0.500
Rh4 0.839 0.339 0.500

=====

Entry 4:
## AcMg4In8 (GGA-PBE)

Data for a geometry-optimized AcMg4In8 structure.

Summary:
Formation enthalpy at 0 K in eV/atom: -0.16
Density in g/cm3: 6.16
DFT total energy in eV/atom: -2.65
Crystal system: tetragonal
Space-group type: No. 139

a = 7.927 Å, b = 7.927 Å, c = 7.927 Å
α = 99.22°, β = 99.22°, γ = 132.81°
Sites, in units of the cell vectors:
Ac1 0.000 0.000 0.000
Mg1 0.000 0.000 0.500
Mg2 0.000 0.500 0.000
Mg3 0.500 0.000 0.000
Mg4 0.500 0.500 0.500
In1 0.000 0.348 0.348
In2 0.000 0.652 0.652
In3 0.283 0.500 0.783
In4 0.348 0.000 0.348
In5 0.500 0.283 0.783
In6 0.500 0.717 0.217
In7 0.652 0.000 0.652
In8 0.717 0.500 0.217

=====

Entry 5:
## LiZrNb2 (GGA-PBE)

Data for a geometry-optimized LiZrNb2 structure.

Summary:
Distance to the lowest polymorph of the same formula in meV per atom: 0
Formation enthalpy at 0 K in eV/atom: 0.42
Density in g/cm3: 6.41
DFT total energy in eV/atom: -7.23
Crystal system: cubic
Space-group type: No. 225

a = 4.703 Å, b = 4.703 Å, c = 4.703 Å
α = 60.00°, β = 60.00°, γ = 60.00°
Sites, in units of the cell vectors:
Li1 0.000 0.000 0.000
Zr1 0.500 0.500 0.500
Nb1 0.250 0.250 0.250
Nb2 0.750 0.750 0.750

=====

Entry 6:
## Dy3Tl (GGA-PBE)

Data for a geometry-optimized Dy3Tl structure.

Summary:
Formation enthalpy at 0 K in eV/atom: -0.02
Density in g/cm3: 9.97
DFT total energy in eV/atom: -4.07
Crystal system: cubic
Space-group type: No. 225

a = 5.462 Å, b = 5.462 Å, c = 5.462 Å
α = 60.00°, β = 60.00°, γ = 60.00°
Sites, in units of the cell vectors:
Dy1 0.000 0.000 0.000
Dy2 0.250 0.250 0.250
Dy3 0.750 0.750 0.750
Tl1 0.500 0.500 0.500

=====

Question: Number 4 is which compound?
Answer: AcMg4In8